No. 1
Below is a relaxed FeAgAs2 crystal, with properties calculated at the GGA-PBE level.

Output
final energy: -5.105 eV per atom
energy of formation: 0.05 eV per atom
polymorph energy (0 for the lowest one): 0 meV/atom

Cell lengths 3.1367, 3.1367, 23.7596 Å; angles 90.00, 90.00, 120.00 degrees
Space group R-3m (No. 166, hexagonal axes)
Symmetry-distinct sites (fractional):
Fe 0.0000 0.0000 0.0000 (multiplicity 3)
Ag 0.0000 0.0000 0.5000 (multiplicity 3)
As 0.0000 0.0000 0.2651 (multiplicity 6)

No. 2
Below is a relaxed Pr2Al2Ge crystal, with properties calculated at the GGA-PBE level.

Output
final energy: -4.973 eV per atom
energy of formation: -0.64 eV per atom

Cell lengths 4.106, 26.862, 4.518 Å; angles 90.00, 90.00, 90.00 degrees
Space group Cmcm (No. 63)
Symmetry-distinct sites (fractional):
Pr 0.000 0.075 0.250 (multiplicity 4)
Pr 0.000 0.296 0.750 (multiplicity 4)
Al 0.000 0.381 0.250 (multiplicity 4)
Al 0.000 0.476 0.250 (multiplicity 4)
Ge 0.000 0.176 0.750 (multiplicity 4)

No. 3
Below is a relaxed Ba2DyZnTe5 crystal, with properties calculated at the GGA-PBE level.

Output
final energy: -4.067 eV per atom
formation energy without anion corrections: -120 kJ per mole of atoms

Cell lengths 4.543, 20.286, 14.047 Å; angles 90.00, 90.00, 90.00 degrees
Space group Cmc2_1 (No. 36)
Symmetry-distinct sites (fractional):
Ba 0.000 0.120 0.000 (multiplicity 4)
Ba 0.000 0.124 0.633 (multiplicity 4)
Dy 0.000 0.202 0.326 (multiplicity 4)
Zn 0.000 0.436 0.740 (multiplicity 4)
Te 0.000 0.047 0.344 (multiplicity 4)
Te 0.000 0.299 0.974 (multiplicity 4)
Te 0.000 0.306 0.674 (multiplicity 4)
Te 0.000 0.351 0.319 (multiplicity 4)
Te 0.000 0.500 0.077 (multiplicity 4)

No. 4
Below is a relaxed MgCdCl crystal, with properties calculated at the GGA-PBE level.

Output
final energy: -2.044 eV per atom
formation energy without anion corrections: -57 kJ per mole of atoms
polymorph energy (0 for the lowest one): 132 meV/atom

Cell lengths 3.873, 5.450, 15.036 Å; angles 90.00, 90.00, 90.00 degrees
Space group Fmm2 (No. 42)
Symmetry-distinct sites (fractional):
Mg 0.000 0.000 0.000 (multiplicity 4)
Cd 0.000 0.000 0.352 (multiplicity 4)
Cl 0.000 0.000 0.601 (multiplicity 4)